1.
## Cs3Np2F9 (GGA-PBE)

Data for crystalline Cs3Np2F9 at its relaxed geometry.

D(E_F): 0.559 states/eV/atom
size of the total moment: 16.0 μB/cell
final energy: -0.233 Ha/atom
uncorrected formation energy: -3.114 eV per atom

Cell and atoms, written as POSCAR:
```
Cs3Np2F9
1.0
-3.538 -4.772 -6.180
5.393 -6.431 1.744
-5.586 -3.293 5.606
Cs Np F
6 4 18
direct
0.422 0.750 0.078
0.250 0.922 0.578
0.922 0.578 0.250
0.078 0.422 0.750
0.750 0.078 0.422
0.578 0.250 0.922
0.132 0.132 0.132
0.632 0.632 0.632
0.868 0.868 0.868
0.368 0.368 0.368
0.738 0.944 0.080
0.056 0.920 0.262
0.250 0.383 0.117
0.556 0.762 0.420
0.617 0.883 0.750
0.883 0.750 0.617
0.238 0.580 0.444
0.580 0.444 0.238
0.920 0.262 0.056
0.080 0.738 0.944
0.420 0.556 0.762
0.383 0.117 0.250
0.762 0.420 0.556
0.117 0.250 0.383
0.444 0.238 0.580
0.750 0.617 0.883
0.944 0.080 0.738
0.262 0.056 0.920
```

=====

2.
## Sm8CdIn2 (GGA-PBE)

Data for crystalline Sm8CdIn2 at its relaxed geometry.

D(E_F): 1.281 states/eV/atom
DFT formation energy: -0.167 eV per atom
size of the total moment: 0.0 μB/cell
final energy: -0.154 Ha/atom

Cell and atoms, written as POSCAR:
```
Sm8CdIn2
1.0
-2.828 3.147 -3.039
-0.290 -6.184 -6.134
-4.715 -1.193 7.617
Sm Cd In
8 1 2
direct
0.658 0.878 0.316
0.342 0.562 0.684
0.141 0.141 0.281
0.000 0.315 0.000
0.859 0.859 0.719
0.658 0.438 0.316
0.342 0.122 0.684
0.000 0.685 0.000
0.500 0.000 0.000
0.195 0.695 0.390
0.805 0.305 0.610
```

=====

3.
## CsCaCd2Cl (GGA-PBE)

Data for crystalline CsCaCd2Cl at its relaxed geometry.

D(E_F): 0.143 states/eV/atom
size of the total moment: 0.0 μB/cell
final energy: -0.036 Ha/atom
uncorrected formation energy: 0.322 eV per atom

Cell and atoms, written as POSCAR:
```
CsCaCd2Cl
1.0
7.141 0.000 0.000
0.000 8.254 0.000
0.000 0.000 7.141
Cs Ca Cl Cd
1 1 1 2
direct
0.000 0.000 0.000
0.000 0.500 0.000
0.500 0.500 0.500
0.000 0.000 0.500
0.500 0.000 0.000
```

=====

4.
## LiHoTmSn (GGA-PBE)

Data for crystalline LiHoTmSn at its relaxed geometry.

D(E_F): 0.850 states/eV/atom
DFT formation energy: -0.382 eV per atom
size of the total moment: 0.0 μB/cell
final energy: -0.152 Ha/atom

Cell and atoms, written as POSCAR:
```
LiHoTmSn
1.0
5.170 0.000 0.000
2.585 4.478 0.000
2.585 1.493 4.222
Tm Li Ho Sn
1 1 1 1
direct
0.000 0.000 0.000
0.750 0.750 0.750
0.500 0.500 0.500
0.250 0.250 0.250
```

=====

5.
## MgGaGe (GGA-PBE)

Data for crystalline MgGaGe at its relaxed geometry.

D(E_F): 0.334 states/eV/atom
DFT formation energy: -0.057 eV per atom
size of the total moment: 0.0 μB/cell
final energy: -0.115 Ha/atom

Cell and atoms, written as POSCAR:
```
MgGaGe
1.0
4.835 0.000 0.081
0.000 6.350 0.000
-3.871 0.000 7.547
Mg Ga Ge
4 4 4
direct
0.480 0.671 0.212
0.520 0.671 0.788
0.480 0.171 0.712
0.520 0.171 0.288
0.177 0.461 0.418
0.823 0.461 0.582
0.177 0.961 0.918
0.823 0.961 0.082
0.178 0.884 0.417
0.822 0.884 0.583
0.178 0.384 0.917
0.822 0.384 0.083
```

=====

6.
## Ce2PmNd3Er6 (GGA-PBE)

Data for crystalline Ce2PmNd3Er6 at its relaxed geometry.

D(E_F): 1.663 states/eV/atom
DFT formation energy: 0.046 eV per atom
size of the total moment: 1.9 μB/cell
final energy: -0.177 Ha/atom

Cell and atoms, written as POSCAR:
```
Ce2PmNd3Er6
1.0
-4.565 -4.165 0.248
5.372 -1.458 -2.695
3.760 -1.941 10.911
Ce Pm Nd Er
2 1 3 6
direct
0.333 0.667 0.000
0.667 0.333 0.000
0.000 0.000 0.000
0.166 0.834 0.500
0.834 0.166 0.500
0.500 0.500 0.500
0.918 0.582 0.753
0.747 0.747 0.247
0.082 0.418 0.247
0.582 0.918 0.753
0.253 0.253 0.753
0.418 0.082 0.247
```

=====

7.
## Ac2SnHg2 (GGA-PBE)

Data for crystalline Ac2SnHg2 at its relaxed geometry.

D(E_F): 0.670 states/eV/atom
DFT formation energy: -0.530 eV per atom
size of the total moment: 0.0 μB/cell
final energy: -0.114 Ha/atom

Cell and atoms, written as POSCAR:
```
Ac2SnHg2
1.0
4.899 0.000 0.000
2.450 6.055 -0.476
2.450 0.102 10.779
Ac Sn Hg
4 2 4
direct
0.673 0.320 0.334
0.920 0.264 0.897
0.327 0.680 0.666
0.080 0.736 0.103
0.612 0.103 0.673
0.388 0.897 0.327
0.093 0.264 0.551
0.649 0.811 0.890
0.907 0.736 0.449
0.351 0.189 0.110
```

=====

8.
## Tb5HgTe2 (GGA-PBE)

Data for crystalline Tb5HgTe2 at its relaxed geometry.

D(E_F): 1.271 states/eV/atom
size of the total moment: 0.0 μB/cell
final energy: -0.156 Ha/atom
uncorrected formation energy: -0.540 eV per atom

Cell and atoms, written as POSCAR:
```
Tb5HgTe2
1.0
-0.614 3.555 4.812
3.820 -5.792 1.008
10.936 6.606 -3.485
Tb Hg Te
10 2 4
direct
0.946 0.893 0.887
0.946 0.893 0.613
0.382 0.764 0.443
0.382 0.764 0.057
0.623 0.245 0.250
0.377 0.755 0.750
0.618 0.236 0.557
0.618 0.236 0.943
0.054 0.107 0.113
0.054 0.107 0.387
0.745 0.489 0.750
0.255 0.511 0.250
0.812 0.624 0.410
0.812 0.624 0.090
0.188 0.376 0.590
0.188 0.376 0.910
```

=====

9.
## CaYPb2 (GGA-PBE)

Data for crystalline CaYPb2 at its relaxed geometry.

D(E_F): 0.623 states/eV/atom
DFT formation energy: -0.474 eV per atom
size of the total moment: 0.0 μB/cell
final energy: -0.163 Ha/atom

Cell and atoms, written as POSCAR:
```
CaYPb2
1.0
4.687 0.000 -0.025
0.000 4.422 0.000
-2.297 0.000 5.905
Ca Y Pb
1 1 2
direct
0.452 0.500 0.440
0.711 0.000 0.964
0.178 0.500 0.900
0.990 0.000 0.514
```

=====

10.
## KLi2Mg (GGA-PBE)

Data for crystalline KLi2Mg at its relaxed geometry.

D(E_F): 0.605 states/eV/atom
DFT formation energy: 0.207 eV per atom
size of the total moment: 0.0 μB/cell
final energy: -0.052 Ha/atom

Cell and atoms, written as POSCAR:
```
KLi2Mg
1.0
6.258 -0.103 0.000
2.547 5.717 0.000
-4.402 -2.807 3.451
K Li Mg
1 2 1
direct
0.750 0.250 0.500
0.000 0.000 0.000
0.250 0.750 0.500
0.500 0.500 0.000
```

=====

11.
## LiCaTe2 (GGA-PBE)

Data for crystalline LiCaTe2 at its relaxed geometry.

D(E_F): 0.414 states/eV/atom
size of the total moment: 0.0 μB/cell
final energy: -0.128 Ha/atom
uncorrected formation energy: -0.943 eV per atom

Cell and atoms, written as POSCAR:
```
LiCaTe2
1.0
5.234 0.000 0.000
0.000 5.241 0.000
0.000 0.000 4.008
Ca Li Te
1 1 2
direct
0.500 0.000 0.500
0.000 0.500 0.500
0.000 0.000 0.000
0.500 0.500 0.000
```

=====

12.
## Li2AcBi2O7 (GGA-PBE)

Data for crystalline Li2AcBi2O7 at its relaxed geometry.

D(E_F): 0.346 states/eV/atom
size of the total moment: 0.7 μB/cell
final energy: -0.213 Ha/atom
uncorrected formation energy: -1.588 eV per atom

Cell and atoms, written as POSCAR:
```
Li2AcBi2O7
1.0
5.749 0.000 0.000
2.875 4.979 0.000
2.875 1.660 9.051
Li Ac Bi O
2 1 2 7
direct
0.733 0.733 0.802
0.267 0.267 0.198
0.000 0.000 0.000
0.578 0.578 0.266
0.422 0.422 0.734
0.287 0.943 0.173
0.943 0.597 0.173
0.597 0.287 0.173
0.500 0.500 0.500
0.713 0.403 0.827
0.403 0.057 0.827
0.057 0.713 0.827
```